--- 1 ---
# Pr6Ho5Er

Crystalline Pr6Ho5Er at its relaxed geometry (PBE-GGA, the Alexandria database).

```
data_Pr6Ho5Er
_chemical_formula_sum 'Pr12 Ho10 Er2'
_space_group_name_H-M_alt 'C 1 2/m 1'
_space_group_IT_number 12
_cell_length_a 6.291
_cell_length_b 10.894
_cell_length_c 11.842
_cell_angle_alpha 90.00
_cell_angle_beta 100.18
_cell_angle_gamma 90.00
loop_
_space_group_symop_operation_xyz
'x,y,z'
'-x,-y,-z'
'-x,y,-z'
'x,-y,z'
'x+1/2,y+1/2,z'
'-x+1/2,-y+1/2,-z'
'-x+1/2,y+1/2,-z'
'x+1/2,-y+1/2,z'
loop_
_atom_site_label
_atom_site_type_symbol
_atom_site_fract_x
_atom_site_fract_y
_atom_site_fract_z
Pr1 Pr 0.249 0.167 0.250
Pr2 Pr 0.250 0.000 0.750
Ho1 Ho 0.000 0.167 0.500
Ho2 Ho 0.000 0.333 0.000
Ho3 Ho 0.000 0.500 0.500
Er1 Er 0.000 0.000 0.000
```



--- 2 ---
# Pr6Ho5Er

Crystalline Pr6Ho5Er at its relaxed geometry (PBE-GGA, the Alexandria database).

```
data_Pr6Ho5Er
_chemical_formula_sum 'Pr12 Ho10 Er2'
_space_group_name_H-M_alt 'I m m m'
_space_group_IT_number 71
_space_group_name_Hall '-I 2 2'
_cell_length_a 5.162
_cell_length_b 10.083
_cell_length_c 15.419
_cell_angle_alpha 90.00
_cell_angle_beta 90.00
_cell_angle_gamma 90.00
loop_
_atom_site_label
_atom_site_type_symbol
_atom_site_fract_x
_atom_site_fract_y
_atom_site_fract_z
Pr1 Pr 0.000 0.250 0.000
Pr2 Pr 0.000 0.250 0.333
Ho1 Ho 0.000 0.000 0.167
Ho2 Ho 0.000 0.000 0.500
Ho3 Ho 0.000 0.500 0.167
Er1 Er 0.000 0.500 0.500
```



Tell me which of them is the most stable. Sure, it is 1.



--- 1 ---
# Pr6Ho4Er

Crystalline Pr6Ho4Er at its relaxed geometry (PBE-GGA, the Alexandria database).

```
data_Pr6Ho4Er
_chemical_formula_sum 'Pr12 Ho8 Er2'
_space_group_name_H-M_alt 'I -4 2 m'
_space_group_IT_number 121
_space_group_name_Hall 'I -4 2'
_cell_length_a 6.835
_cell_length_b 6.835
_cell_length_c 16.457
_cell_angle_alpha 90.00
_cell_angle_beta 90.00
_cell_angle_gamma 90.00
loop_
_atom_site_label
_atom_site_type_symbol
_atom_site_fract_x
_atom_site_fract_y
_atom_site_fract_z
Pr1 Pr 0.000 0.500 0.000
Pr2 Pr 0.192 0.192 0.321
Ho1 Ho 0.175 0.175 0.113
Er1 Er 0.000 0.000 0.500
```



--- 2 ---
# Pr6Ho4Er

Crystalline Pr6Ho4Er at its relaxed geometry (PBE-GGA, the Alexandria database).

```
data_Pr6Ho4Er
_chemical_formula_sum 'Pr6 Ho4 Er1'
_space_group_name_H-M_alt 'P -6 m 2'
_space_group_IT_number 187
_space_group_name_Hall 'P -6 2'
_cell_length_a 11.1128
_cell_length_b 11.1128
_cell_length_c 3.5781
_cell_angle_alpha 90.00
_cell_angle_beta 90.00
_cell_angle_gamma 120.00
loop_
_atom_site_label
_atom_site_type_symbol
_atom_site_fract_x
_atom_site_fract_y
_atom_site_fract_z
Pr1 Pr 0.1816 0.3632 0.0000
Pr2 Pr 0.5274 0.0549 0.5000
Ho1 Ho 0.3137 0.1568 0.0000
Ho2 Ho 0.3333 0.6667 0.5000
Er1 Er 0.0000 0.0000 0.5000
```



Tell me which of them is the most stable. Sure, it is 2.



--- 1 ---
# TbPrHoEr

Crystalline TbPrHoEr at its relaxed geometry (PBE-GGA, the Alexandria database).

```
data_TbPrHoEr
_chemical_formula_sum 'Tb1 Pr1 Ho1 Er1'
_space_group_name_H-M_alt 'P m m 2'
_space_group_IT_number 25
_cell_length_a 3.442
_cell_length_b 5.634
_cell_length_c 6.751
_cell_angle_alpha 90.00
_cell_angle_beta 90.00
_cell_angle_gamma 90.00
loop_
_space_group_symop_operation_xyz
'x,y,z'
'-x,-y,z'
'-x,y,z'
'x,-y,z'
loop_
_atom_site_label
_atom_site_type_symbol
_atom_site_fract_x
_atom_site_fract_y
_atom_site_fract_z
Tb1 Tb 0.000 0.000 0.000
Pr1 Pr 0.000 0.500 0.743
Ho1 Ho 0.000 0.500 0.260
Er1 Er 0.500 0.000 0.492
```



--- 2 ---
# TbPrHoEr

Crystalline TbPrHoEr at its relaxed geometry (PBE-GGA, the Alexandria database).

```
data_TbPrHoEr
_chemical_formula_sum 'Tb4 Pr4 Ho4 Er4'
_space_group_name_H-M_alt 'F -4 3 m'
_space_group_IT_number 216
_space_group_name_Hall 'F -4 2 3'
_cell_length_a 8.060
_cell_length_b 8.060
_cell_length_c 8.060
_cell_angle_alpha 90.00
_cell_angle_beta 90.00
_cell_angle_gamma 90.00
loop_
_atom_site_label
_atom_site_type_symbol
_atom_site_fract_x
_atom_site_fract_y
_atom_site_fract_z
Tb1 Tb 0.000 0.000 0.000
Pr1 Pr 0.000 0.000 0.500
Ho1 Ho 0.250 0.250 0.250
Er1 Er 0.250 0.250 0.750
```



Tell me which of them is the most stable. Sure, it is 2.